# 1
Compound: CsUOs
Source: OQMD via LeMat-Bulk
Functional: PBE-GGA
Structure: optimized geometry

Cell lengths 4.9304, 4.9304, 4.9304 Å; angles 60.00, 60.00, 60.00 degrees
With the nearest neighbours (Å) after each atom.
Sites, in units of the cell vectors:
Cs 0.2500 0.2500 0.2500  4 Os 3.02
Os 0.0000 0.0000 0.0000  4 Cs 3.02, 4 U 3.02
U 0.7500 0.7500 0.7500  4 Os 3.02

Results
Distance to the lowest polymorph of the same formula: 0.0 kJ per mole of atoms
SG: F-43m
VASP energy: -6.212 eV/atom

# 2
Compound: CsUOs
Source: OQMD via LeMat-Bulk
Functional: PBE-GGA
Structure: optimized geometry

Cell lengths 4.7255, 4.7255, 4.7255 Å; angles 60.00, 60.00, 60.00 degrees
With the nearest neighbours (Å) after each atom.
Sites, in units of the cell vectors:
Cs 0.0000 0.0000 0.0000  4 Os 2.89, 4 U 2.89
Os 0.2500 0.2500 0.2500  4 Cs 2.89
U 0.7500 0.7500 0.7500  4 Cs 2.89

Results
Distance to the lowest polymorph of the same formula: 77.4 kJ per mole of atoms
SG: F-43m
VASP energy: -5.410 eV/atom

# 3
Compound: CsOsW
Source: OQMD via LeMat-Bulk
Functional: PBE-GGA
Structure: optimized geometry

Cell lengths 4.6503, 4.6503, 4.6503 Å; angles 60.00, 60.00, 60.00 degrees
With the nearest neighbours (Å) after each atom.
Sites, in units of the cell vectors:
Cs 0.2500 0.2500 0.2500  4 Os 2.85
Os 0.0000 0.0000 0.0000  4 Cs 2.85, 4 W 2.85
W 0.7500 0.7500 0.7500  4 Os 2.85

Results
SG: F-43m
VASP energy: -5.903 eV/atom

# 4
Compound: CsYOs
Source: OQMD via LeMat-Bulk
Functional: PBE-GGA
Structure: optimized geometry

Cell lengths 4.8696, 4.8696, 4.8696 Å; angles 60.00, 60.00, 60.00 degrees
With the nearest neighbours (Å) after each atom.
Sites, in units of the cell vectors:
Cs 0.0000 0.0000 0.0000  4 Y 2.98, 4 Os 2.98
Os 0.2500 0.2500 0.2500  4 Cs 2.98
Y 0.7500 0.7500 0.7500  4 Cs 2.98

Results
Distance to the lowest polymorph of the same formula: 19.8 kJ per mole of atoms
SG: F-43m
VASP energy: -4.210 eV/atom

# 5
Compound: CsYOs
Source: OQMD via LeMat-Bulk
Functional: PBE-GGA
Structure: optimized geometry

Cell lengths 5.3530, 5.3530, 4.8847 Å; angles 90.00, 90.00, 90.00 degrees
With the nearest neighbours (Å) after each atom.
Sites, in units of the cell vectors:
Cs 0.0000 0.0000 0.0000  4 Y 3.79
Os 0.5000 0.5000 0.5000  2 Y 2.44
Y 0.5000 0.5000 0.0000  2 Os 2.44

Results
Distance to the lowest polymorph of the same formula: 0.0 kJ per mole of atoms
SG: P4/mmm
VASP energy: -4.415 eV/atom

# 6
Compound: CsZnOs
Source: OQMD via LeMat-Bulk
Functional: PBE-GGA
Structure: optimized geometry

Cell lengths 4.7830, 4.7830, 4.7830 Å; angles 60.00, 60.00, 60.00 degrees
With the nearest neighbours (Å) after each atom.
Sites, in units of the cell vectors:
Cs 0.2500 0.2500 0.2500  4 Os 2.93
Os 0.0000 0.0000 0.0000  4 Cs 2.93, 4 Zn 2.93
Zn 0.7500 0.7500 0.7500  4 Os 2.93

Results
Distance to the lowest polymorph of the same formula: 0.0 kJ per mole of atoms
SG: F-43m
VASP energy: -2.707 eV/atom

# 7
Compound: CsZnOs
Source: OQMD via LeMat-Bulk
Functional: PBE-GGA
Structure: optimized geometry

Cell lengths 5.8616, 5.8616, 5.8616 Å; angles 60.00, 60.00, 60.00 degrees
With the nearest neighbours (Å) after each atom.
Sites, in units of the cell vectors:
Cs 0.0000 0.0000 0.0000  4 Os 3.59, 4 Zn 3.59
Os 0.2500 0.2500 0.2500  4 Cs 3.59
Zn 0.7500 0.7500 0.7500  4 Cs 3.59

Results
Distance to the lowest polymorph of the same formula: 53.5 kJ per mole of atoms
SG: F-43m
VASP energy: -2.153 eV/atom

# 8
Compound: CsZrOs
Source: OQMD via LeMat-Bulk
Functional: PBE-GGA
Structure: optimized geometry

Cell lengths 4.8384, 4.8384, 4.8384 Å; angles 60.00, 60.00, 60.00 degrees
With the nearest neighbours (Å) after each atom.
Sites, in units of the cell vectors:
Cs 0.2500 0.2500 0.2500  4 Os 2.96
Os 0.0000 0.0000 0.0000  4 Zr 2.96, 4 Cs 2.96
Zr 0.7500 0.7500 0.7500  4 Os 2.96

Results
Distance to the lowest polymorph of the same formula: 0.0 kJ per mole of atoms
SG: F-43m
VASP energy: -5.515 eV/atom

# 9
Compound: CsZrOs
Source: OQMD via LeMat-Bulk
Functional: PBE-GGA
Structure: optimized geometry

Cell lengths 4.6852, 4.6852, 4.6852 Å; angles 60.00, 60.00, 60.00 degrees
With the nearest neighbours (Å) after each atom.
Sites, in units of the cell vectors:
Cs 0.0000 0.0000 0.0000  4 Zr 2.87, 4 Os 2.87
Os 0.2500 0.2500 0.2500  4 Cs 2.87
Zr 0.7500 0.7500 0.7500  4 Cs 2.87

Results
Distance to the lowest polymorph of the same formula: 100.1 kJ per mole of atoms
SG: F-43m
VASP energy: -4.478 eV/atom

# 10
Compound: CsP5Pd3
Source: OQMD via LeMat-Bulk
Functional: PBE-GGA
Structure: optimized geometry

Cell lengths 5.5604, 5.5604, 7.9205 Å; angles 90.00, 90.00, 120.00 degrees
With the nearest neighbours (Å) after each atom.
Sites, in units of the cell vectors:
Cs 0.0000 0.0000 0.0000  14 P 3.86-3.96
P 0.6667 0.3333 0.2699  3 Pd 2.43
P 0.3333 0.6667 0.2699  3 Pd 2.43
P 0.0000 0.0000 0.5000  6 Pd 2.78
P 0.6667 0.3333 0.7301  3 Pd 2.43
P 0.3333 0.6667 0.7301  3 Pd 2.43
Pd 0.5000 0.0000 0.5000  4 P 2.43
Pd 0.0000 0.5000 0.5000  4 P 2.43
Pd 0.5000 0.5000 0.5000  4 P 2.43

Results
SG: P6/mmm
VASP energy: -4.772 eV/atom

# 11
Compound: Cs4P2PdS8
Source: OQMD via LeMat-Bulk
Functional: PBE-GGA
Structure: optimized geometry

Cell lengths 6.9952, 7.3631, 9.6474 Å; angles 87.16, 78.84, 85.48 degrees
With the nearest neighbours (Å) after each atom.
Sites, in units of the cell vectors:
Cs 0.2944 0.3221 0.1487  7 S 3.50-3.80, 1 Pd 3.76
Cs 0.7408 0.2245 0.4847  6 S 3.45-3.80
Cs 0.2592 0.7755 0.5153  6 S 3.45-3.80
Cs 0.7056 0.6779 0.8513  7 S 3.50-3.80, 1 Pd 3.76
P 0.8337 0.7367 0.2526  4 S 2.02-2.10
P 0.1663 0.2633 0.7474  4 S 2.02-2.10
Pd 0.0000 0.0000 0.0000  4 S 2.36-2.37
S 0.6984 0.9588 0.1550  1 P 2.10
S 0.1202 0.8090 0.1725  1 P 2.10
S 0.7798 0.4972 0.1803  1 P 2.02
S 0.7719 0.7382 0.4670  1 P 2.03
S 0.2281 0.2618 0.5330  1 P 2.03
S 0.2202 0.5028 0.8197  1 P 2.02
S 0.8798 0.1910 0.8275  1 P 2.10
S 0.3016 0.0412 0.8450  1 P 2.10

Results
SG: P-1
VASP energy: -4.370 eV/atom

# 12
Compound: CsPPdS4
Source: OQMD via LeMat-Bulk
Functional: PBE-GGA
Structure: optimized geometry

Cell lengths 8.7106, 8.7106, 8.7106 Å; angles 120.53, 120.53, 89.09 degrees
With the nearest neighbours (Å) after each atom.
Sites, in units of the cell vectors:
Cs 0.2500 0.2500 0.0000  8 S 3.66
Cs 0.7500 0.7500 0.0000  8 S 3.66
P 0.7500 0.2500 0.5000  4 S 2.06
P 0.2500 0.7500 0.5000  4 S 2.06
Pd 0.5000 0.0000 0.5000  4 S 2.35
Pd 0.0000 0.5000 0.5000  4 S 2.35
S 0.5139 0.0139 0.2446  1 P 2.06
S 0.2307 0.7307 0.2446  1 P 2.06
S 0.9861 0.2307 0.5000  1 P 2.06
S 0.7307 0.4861 0.5000  1 P 2.06
S 0.2693 0.5139 0.5000  1 P 2.06
S 0.0139 0.7693 0.5000  1 P 2.06
S 0.7693 0.2693 0.7554  1 P 2.06
S 0.4861 0.9861 0.7554  1 P 2.06

Results
SG: I4/mcm
VASP energy: -4.663 eV/atom